A plane-wave DFT calculation with PBE was carried out for YZrIn4 after structural relaxation.

Results
Formation energy from the elements: -1.115 eV/f.u.
Raw total energy: -4.513 eV/atom

a b c (Å): 8.321 8.321 8.321
angles (deg): 90.00 90.00 90.00
Space group F-43m (No. 216)
Inequivalent atoms, fractional coordinates:
Y1 0.000 0.000 0.000 [4 per cell]
Zr1 0.250 0.250 0.750 [4 per cell]
In1 0.125 0.125 0.375 [16 per cell]